[1]
# CoBPS2, relaxed, DFT PBE-GGA
data_CoBPS2
_symmetry_space_group_name_H-M 'P 4/m m m'
_symmetry_Int_Tables_number 123
_symmetry_space_group_name_Hall '-P 4 2'
_cell_length_a 4.583
_cell_length_b 4.583
_cell_length_c 4.106
_cell_angle_alpha 90.00
_cell_angle_beta 90.00
_cell_angle_gamma 90.00
loop_
_atom_site_label
_atom_site_fract_x
_atom_site_fract_y
_atom_site_fract_z
Co1 0.000 0.000 0.000
B1 0.500 0.500 0.500
P1 0.000 0.000 0.500
S1 0.000 0.500 0.000
# Energy, eV/atom: -4.208
# DOS at the Fermi energy, states/eV/atom: 1.096
# M_tot, μB/atom: 0.00
# Energy above the most stable polymorph in this dataset, meV per atom: 307

=====

[2]
# PaCo2B2, relaxed, DFT PBE-GGA
data_PaCo2B2
_symmetry_space_group_name_H-M 'I 4/m m m'
_symmetry_Int_Tables_number 139
_symmetry_space_group_name_Hall '-I 4 2'
_cell_length_a 3.548
_cell_length_b 3.548
_cell_length_c 9.297
_cell_angle_alpha 90.00
_cell_angle_beta 90.00
_cell_angle_gamma 90.00
loop_
_atom_site_label
_atom_site_fract_x
_atom_site_fract_y
_atom_site_fract_z
Pa1 0.000 0.000 0.000
Co1 0.000 0.500 0.250
B1 0.000 0.000 0.360
# Energy, eV/atom: -7.937
# DOS at the Fermi energy, states/eV/atom: 0.843
# M_tot, μB/atom: 0.00
# Energy of formation, eV/atom: -0.52

=====

[3]
# PaCo5B3, relaxed, DFT PBE-GGA
data_PaCo5B3
_symmetry_space_group_name_H-M 'C m c m'
_symmetry_Int_Tables_number 63
_symmetry_space_group_name_Hall '-C 2c 2'
_cell_length_a 3.424
_cell_length_b 10.684
_cell_length_c 10.510
_cell_angle_alpha 90.00
_cell_angle_beta 90.00
_cell_angle_gamma 90.00
loop_
_atom_site_label
_atom_site_fract_x
_atom_site_fract_y
_atom_site_fract_z
Pa1 0.000 0.166 0.250
Co1 0.000 0.000 0.000
Co2 0.000 0.205 0.572
Co3 0.000 0.445 0.144
B1 0.000 0.116 0.750
B2 0.000 0.387 0.540
# Energy, eV/atom: -7.538
# DOS at the Fermi energy, states/eV/atom: 1.020
# M_tot, μB/atom: 0.00
# Energy of formation, eV/atom: -0.31

=====

[4]
# PaCo2B, relaxed, DFT PBE-GGA
data_PaCo2B
_symmetry_space_group_name_H-M 'R -3 m'
_symmetry_Int_Tables_number 166
_symmetry_space_group_name_Hall '-R 3 2"'
_cell_length_a 3.1888
_cell_length_b 3.1888
_cell_length_c 18.9505
_cell_angle_alpha 90.00
_cell_angle_beta 90.00
_cell_angle_gamma 120.00
loop_
_atom_site_label
_atom_site_fract_x
_atom_site_fract_y
_atom_site_fract_z
Pa1 0.0000 0.0000 0.0000
Co1 0.0000 0.0000 0.1217
B1 0.0000 0.0000 0.5000
# Energy, eV/atom: -7.580
# DOS at the Fermi energy, states/eV/atom: 0.492
# M_tot, μB/atom: 0.00
# Energy above the most stable polymorph in this dataset, meV per atom: 438
# Energy of formation, eV/atom: 0.02

=====

[5]
# PaCo10B3, relaxed, DFT PBE-GGA
data_PaCo10B3
_symmetry_space_group_name_H-M 'F m -3 m'
_symmetry_Int_Tables_number 225
_symmetry_space_group_name_Hall '-F 4 2 3'
_cell_length_a 10.607
_cell_length_b 10.607
_cell_length_c 10.607
_cell_angle_alpha 90.00
_cell_angle_beta 90.00
_cell_angle_gamma 90.00
loop_
_atom_site_label
_atom_site_fract_x
_atom_site_fract_y
_atom_site_fract_z
Pa1 0.250 0.250 0.250
Co1 0.000 0.167 0.167
Co2 0.115 0.115 0.385
B1 0.000 0.000 0.273
# Energy, eV/atom: -7.443
# DOS at the Fermi energy, states/eV/atom: 0.761
# M_tot, μB/atom: 0.59
# Energy of formation, eV/atom: -0.26

=====

[6]
# Pa2Co5B2, relaxed, DFT PBE-GGA
data_Pa2Co5B2
_symmetry_space_group_name_H-M 'P 4/m m m'
_symmetry_Int_Tables_number 123
_symmetry_space_group_name_Hall '-P 4 2'
_cell_length_a 3.693
_cell_length_b 3.693
_cell_length_c 8.183
_cell_angle_alpha 90.00
_cell_angle_beta 90.00
_cell_angle_gamma 90.00
loop_
_atom_site_label
_atom_site_fract_x
_atom_site_fract_y
_atom_site_fract_z
Pa1 0.000 0.000 0.000
Pa2 0.000 0.000 0.500
Co1 0.000 0.500 0.245
Co2 0.500 0.500 0.000
B1 0.500 0.500 0.366
# Energy, eV/atom: -8.035
# DOS at the Fermi energy, states/eV/atom: 0.333
# M_tot, μB/atom: 0.00
# Energy of formation, eV/atom: -0.49

=====

[7]
# Pa2CoB, relaxed, DFT PBE-GGA
data_Pa2CoB
_symmetry_space_group_name_H-M 'P 1 21/m 1'
_symmetry_Int_Tables_number 11
_symmetry_space_group_name_Hall '-P 2yb'
_cell_length_a 5.447
_cell_length_b 3.530
_cell_length_c 7.356
_cell_angle_alpha 90.00
_cell_angle_beta 109.82
_cell_angle_gamma 90.00
loop_
_atom_site_label
_atom_site_fract_x
_atom_site_fract_y
_atom_site_fract_z
Pa1 0.192 0.250 0.418
Pa2 0.214 0.250 0.939
Co1 0.396 0.750 0.235
B1 0.365 0.750 0.719
# Energy, eV/atom: -8.524
# DOS at the Fermi energy, states/eV/atom: 1.030
# M_tot, μB/atom: 0.00
# Energy above the most stable polymorph in this dataset, meV per atom: 0
# Energy of formation, eV/atom: -0.33

=====

[8]
# PaCo3B, relaxed, DFT PBE-GGA
data_PaCo3B
_symmetry_space_group_name_H-M 'P 63/m m c'
_symmetry_Int_Tables_number 194
_symmetry_space_group_name_Hall '-P 6c 2c'
_cell_length_a 5.7234
_cell_length_b 5.7234
_cell_length_c 8.6648
_cell_angle_alpha 90.00
_cell_angle_beta 90.00
_cell_angle_gamma 120.00
loop_
_atom_site_label
_atom_site_fract_x
_atom_site_fract_y
_atom_site_fract_z
Pa1 0.0000 0.0000 0.0000
Pa2 0.3333 0.6667 0.2500
Co1 0.0000 0.5000 0.0000
Co2 0.1534 0.3068 0.7500
B1 0.3333 0.6667 0.6418
# Energy, eV/atom: -7.883
# DOS at the Fermi energy, states/eV/atom: 0.614
# M_tot, μB/atom: 0.00
# Energy above the most stable polymorph in this dataset, meV per atom: 5
# Energy of formation, eV/atom: -0.38

=====

[9]
# PaCo3B, relaxed, DFT PBE-GGA
data_PaCo3B
_symmetry_space_group_name_H-M 'P m -3 m'
_symmetry_Int_Tables_number 221
_symmetry_space_group_name_Hall '-P 4 2 3'
_cell_length_a 3.970
_cell_length_b 3.970
_cell_length_c 3.970
_cell_angle_alpha 90.00
_cell_angle_beta 90.00
_cell_angle_gamma 90.00
loop_
_atom_site_label
_atom_site_fract_x
_atom_site_fract_y
_atom_site_fract_z
Pa1 0.000 0.000 0.000
Co1 0.000 0.500 0.500
B1 0.500 0.500 0.500
# Energy, eV/atom: -7.876
# DOS at the Fermi energy, states/eV/atom: 1.096
# M_tot, μB/atom: 0.08
# Energy above the most stable polymorph in this dataset, meV per atom: 12
# Energy of formation, eV/atom: -0.38

=====

[10]
# Pa2CoB, relaxed, DFT PBE-GGA
data_Pa2CoB
_symmetry_space_group_name_H-M 'R -3 m'
_symmetry_Int_Tables_number 166
_symmetry_space_group_name_Hall '-R 3 2"'
_cell_length_a 3.3303
_cell_length_b 3.3303
_cell_length_c 23.6393
_cell_angle_alpha 90.00
_cell_angle_beta 90.00
_cell_angle_gamma 120.00
loop_
_atom_site_label
_atom_site_fract_x
_atom_site_fract_y
_atom_site_fract_z
Pa1 0.0000 0.0000 0.1001
Co1 0.0000 0.0000 0.0000
B1 0.0000 0.0000 0.5000
# Energy, eV/atom: -7.899
# DOS at the Fermi energy, states/eV/atom: 1.071
# M_tot, μB/atom: 0.00
# Energy above the most stable polymorph in this dataset, meV per atom: 625
# Energy of formation, eV/atom: 0.29

=====

[11]
# PaCo3B3, relaxed, DFT PBE-GGA
data_PaCo3B3
_symmetry_space_group_name_H-M 'R -3'
_symmetry_Int_Tables_number 148
_symmetry_space_group_name_Hall '-R 3'
_cell_length_a 5.2302
_cell_length_b 5.2302
_cell_length_c 19.8882
_cell_angle_alpha 90.00
_cell_angle_beta 90.00
_cell_angle_gamma 120.00
loop_
_atom_site_label
_atom_site_fract_x
_atom_site_fract_y
_atom_site_fract_z
Pa1 0.0000 0.0000 0.1635
Co1 0.0118 0.4389 0.3791
B1 0.0049 0.1950 0.5952
# Energy, eV/atom: -7.369
# DOS at the Fermi energy, states/eV/atom: 1.013
# M_tot, μB/atom: 0.00
# Energy above the most stable polymorph in this dataset, meV per atom: 25
# Energy of formation, eV/atom: -0.10

=====

[12]
# Pa2Co5B4, relaxed, DFT PBE-GGA
data_Pa2Co5B4
_symmetry_space_group_name_H-M 'C 1 2/m 1'
_symmetry_Int_Tables_number 12
_symmetry_space_group_name_Hall '-C 2y'
_cell_length_a 9.731
_cell_length_b 4.993
_cell_length_c 6.822
_cell_angle_alpha 90.00
_cell_angle_beta 129.57
_cell_angle_gamma 90.00
loop_
_atom_site_label
_atom_site_fract_x
_atom_site_fract_y
_atom_site_fract_z
Pa1 0.218 0.000 0.160
Co1 0.000 0.500 0.000
Co2 0.055 0.249 0.359
B1 0.116 0.000 0.657
B2 0.223 0.500 0.370
# Energy, eV/atom: -7.881
# DOS at the Fermi energy, states/eV/atom: 0.504
# M_tot, μB/atom: 0.00
# Energy of formation, eV/atom: -0.50